1.
A plane-wave DFT calculation with GGA-PBE was carried out for an optimized crystal structure of PrY2PuP4.

Properties
Space-group type: P2/m (10)
Calculated formation energy (eV per atom): -1.4600

Cell and atoms, written as POSCAR:
```
PrY2PuP4
1.0
-3.630 -1.010 -1.527
2.768 -5.866 -2.702
-2.364 -1.292 6.474
Y Pr Pu P
2 1 1 4
Cartesian
0.202 -3.579 1.886
-2.997 -1.151 2.474
-0.431 -3.438 -2.115
0.000 0.000 0.000
-1.093 -2.372 4.168
-1.491 -5.919 2.045
1.498 -4.786 -0.397
-1.735 -2.249 0.200
```

2.
A plane-wave DFT calculation with GGA-PBE was carried out for an optimized crystal structure of Pr2PuZrP4.

Properties
Space-group type: P2/m (10)
Calculated formation energy (eV per atom): -1.3823

Cell and atoms, written as POSCAR:
```
Pr2PuZrP4
1.0
4.019 0.000 0.000
0.000 6.934 0.127
0.000 -2.418 6.559
Pr Zr Pu P
2 1 1 4
Cartesian
2.009 -1.209 3.279
0.000 2.258 3.343
2.009 3.467 0.063
0.000 0.000 0.000
2.009 1.178 1.524
0.000 -0.042 5.114
0.000 4.558 1.571
2.009 3.339 5.162
```

3.
A plane-wave DFT calculation with GGA-PBE was carried out for an optimized crystal structure of RbPrP2S8.

Properties
Energy relative to the elements, uncorrected (kcal/mol of atoms): -13.5
Space-group type: P-3 (147)

Cell and atoms, written as POSCAR:
```
RbPrP2S8
1.0
-4.720 -2.650 -3.112
5.071 -3.352 1.427
-4.122 -2.624 8.487
S Pr P Rb
8 1 2 1
Cartesian
-0.895 -3.027 6.271
-2.877 -5.598 0.531
0.519 -6.114 6.004
-2.079 -5.591 7.914
-4.291 -2.511 0.798
-1.205 -3.091 2.118
-2.566 -5.535 4.684
-1.693 -3.034 -1.112
-2.061 -1.312 4.243
-2.550 -3.580 0.651
-1.222 -5.046 6.150
0.000 0.000 0.000
```

4.
A plane-wave DFT calculation with GGA-PBE was carried out for an optimized crystal structure of PrReP.

Properties
Space-group type: P4_2/m (84)
Calculated formation energy (eV per atom): -0.6920

Cell and atoms, written as POSCAR:
```
PrReP
1.0
-2.519 -3.034 1.002
5.736 -3.384 4.173
-2.279 3.996 6.372
Pr Re P
4 4 4
Cartesian
-1.247 2.619 4.797
4.703 -2.007 5.748
0.684 -0.184 9.424
0.254 -2.238 2.123
-0.402 -0.310 6.313
1.104 0.425 4.066
2.352 0.186 6.480
1.340 -2.112 5.234
0.619 1.776 6.935
2.838 -1.164 3.610
2.071 -1.967 7.511
-1.133 -0.455 4.036
```

5.
A plane-wave DFT calculation with GGA-PBE was carried out for an optimized crystal structure of PrPRh3.

Properties
Polymorph energy (0 for the lowest one) (meV/atom): 142
Space-group type: Imma (74)
Calculated formation energy (eV per atom): -0.7236

Cell and atoms, written as POSCAR:
```
PrPRh3
1.0
6.341 0.000 0.000
0.000 6.288 0.000
-3.170 -3.144 4.613
P Rh Pr
2 6 2
Cartesian
3.170 0.000 0.000
0.000 3.144 0.000
3.170 -0.322 2.306
4.756 4.716 0.333
0.000 3.466 2.306
1.585 -1.572 4.280
-1.585 -1.572 4.280
1.585 4.716 0.333
3.170 2.907 2.306
0.000 0.236 2.306
```

6.
A plane-wave DFT calculation with GGA-PBE was carried out for an optimized crystal structure of Pr2P2Rh3.

Properties
Space-group type: C2/m (12)
Calculated formation energy (eV per atom): -0.9562

Cell and atoms, written as POSCAR:
```
Pr2P2Rh3
1.0
3.826 0.000 0.000
-1.913 5.253 -0.178
0.000 -2.634 6.542
Rh P Pr
3 2 2
Cartesian
1.913 0.000 0.000
0.000 2.253 3.636
1.913 0.366 2.728
1.913 1.627 4.907
0.000 0.992 1.457
0.000 -0.658 5.025
1.913 3.277 1.339
```

7.
A plane-wave DFT calculation with GGA-PBE was carried out for an optimized crystal structure of PrP2Rh2.

Properties
Space-group type: Fddd (70)
Calculated formation energy (eV per atom): -0.9543

Cell and atoms, written as POSCAR:
```
PrP2Rh2
1.0
-3.128 5.462 0.279
-4.199 -4.615 -0.872
3.209 -0.941 5.254
Rh P Pr
4 4 2
Cartesian
-0.751 3.612 2.952
-2.623 1.566 0.037
-1.495 -1.661 4.623
-3.367 -3.706 1.709
-3.285 -1.919 3.284
-0.833 1.824 1.376
0.504 -1.163 3.716
-4.622 1.068 0.945
-2.954 1.188 3.639
-1.163 -1.283 1.021
```

8.
A plane-wave DFT calculation with GGA-PBE was carried out for an optimized crystal structure of PrPRh3.

Properties
Polymorph energy (0 for the lowest one) (meV/atom): 196
Space-group type: Pm-3m (221)
Calculated formation energy (eV per atom): -0.6694

Cell and atoms, written as POSCAR:
```
PrPRh3
1.0
-0.060 -4.047 1.982
2.714 1.550 3.247
-3.597 1.237 2.416
Pr Rh P
1 3 1
Cartesian
-0.472 -0.630 3.822
1.357 0.775 1.624
-1.799 0.618 1.208
-0.030 -2.023 0.991
0.000 0.000 0.000
```

9.
A plane-wave DFT calculation with GGA-PBE was carried out for an optimized crystal structure of Pr4P6Rh7.

Properties
Space-group type: Im-3m (229)
Calculated formation energy (eV per atom): -0.9813

Cell and atoms, written as POSCAR:
```
Pr4P6Rh7
1.0
-3.515 0.055 -6.383
7.163 0.669 -1.165
-1.323 -6.283 3.447
Rh Pr P
7 4 6
Cartesian
-0.960 -4.517 -0.897
-1.508 -2.932 -3.355
1.710 -4.363 0.407
0.000 0.000 0.000
3.283 -1.041 -3.204
0.614 -1.194 -4.508
3.831 -2.625 -0.746
-1.758 0.028 -3.192
1.162 -2.779 -2.051
3.581 0.335 -0.583
-0.662 -3.141 1.724
1.214 0.241 -2.513
2.433 0.484 -5.036
-1.611 -2.073 -0.977
3.896 -3.745 1.522
-3.228 -4.154 -1.959
1.944 -1.868 0.760
```

10.
A plane-wave DFT calculation with GGA-PBE was carried out for an optimized crystal structure of Pr2P4Rh5.

Properties
Space-group type: Fmmm (69)
Calculated formation energy (eV per atom): -0.9081

Cell and atoms, written as POSCAR:
```
Pr2P4Rh5
1.0
-0.515 1.351 5.298
3.160 -2.691 3.840
4.769 5.513 1.903
Rh Pr P
5 2 4
Cartesian
-0.257 0.676 2.649
3.578 2.424 6.845
1.580 -1.346 1.920
1.323 -0.670 4.569
3.836 1.749 4.196
0.864 2.678 5.093
3.391 4.187 2.108
2.112 0.852 2.834
5.303 3.321 8.207
3.111 0.289 5.921
4.303 3.884 5.120
```

11.
A plane-wave DFT calculation with GGA-PBE was carried out for an optimized crystal structure of Pr2P7Rh12.

Properties
Space-group type: P-3 (147)
Calculated formation energy (eV per atom): -0.9035

Cell and atoms, written as POSCAR:
```
Pr2P7Rh12
1.0
-0.062 -3.415 1.918
0.129 -4.726 -8.410
8.289 2.303 4.367
Rh P Pr
12 7 2
Cartesian
3.201 -2.076 -1.600
6.206 -5.060 -2.813
7.130 -2.396 -2.032
3.650 -1.841 2.846
2.151 -0.778 0.688
7.763 -2.209 2.323
0.593 -3.629 -4.448
7.380 0.488 3.109
4.707 -3.997 -4.971
0.976 -6.326 -5.234
5.155 -3.762 -0.525
1.226 -3.442 -0.093
2.482 -4.358 -5.719
5.874 -1.480 3.594
3.325 -3.010 0.787
0.989 -2.474 -2.412
5.031 -2.828 -2.912
-0.031 -1.707 0.959
7.367 -3.364 0.287
2.803 -4.937 -2.716
5.553 -0.901 0.591
```

12.
A plane-wave DFT calculation with GGA-PBE was carried out for an optimized crystal structure of Pr2P4Rh3.

Properties
Space-group type: Fmmm (69)
Calculated formation energy (eV per atom): -0.8516

Cell and atoms, written as POSCAR:
```
Pr2P4Rh3
1.0
5.669 -0.180 0.000
-2.794 4.936 0.000
-1.437 -2.378 6.002
P Pr Rh
4 2 3
Cartesian
2.861 -1.730 4.219
-2.861 1.730 4.219
-1.424 4.108 1.783
4.299 0.648 1.783
0.000 0.000 4.242
1.437 2.378 1.760
-1.397 2.468 0.000
0.000 0.000 0.000
2.834 -0.090 0.000
```

Number 1: size of the total moment 4.885 μB per formula unit, Fermi-level density of states 12.36 states/eV per cell. Number 2: size of the total moment 5.088 μB per formula unit, Fermi-level density of states 11.31 states/eV per cell. Number 3: size of the total moment 2.019 μB per formula unit, Fermi-level density of states 10.26 states/eV per cell. Number 4: size of the total moment 0.000 μB per formula unit, Fermi-level density of states 8.89 states/eV per cell. Number 5: size of the total moment 0.000 μB per formula unit, Fermi-level density of states 6.12 states/eV per cell. Number 6: size of the total moment 0.000 μB per formula unit, Fermi-level density of states 4.40 states/eV per cell. Number 7: size of the total moment 0.000 μB per formula unit, Fermi-level density of states 6.57 states/eV per cell. Number 8: size of the total moment 0.000 μB per formula unit, Fermi-level density of states 4.85 states/eV per cell. Number 9: size of the total moment 0.000 μB per formula unit, Fermi-level density of states 7.24 states/eV per cell. Number 10: size of the total moment 0.000 μB per formula unit, Fermi-level density of states 7.09 states/eV per cell. Number 11: size of the total moment 0.000 μB per formula unit, Fermi-level density of states 16.90 states/eV per cell. Number 12: size of the total moment 0.000 μB per formula unit, Fermi-level density of states 5.29 states/eV per cell.